No. 1
# MgMnIn2 | Alexandria via LeMat-Bulk | PBE | optimized geometry
# **V**: 82.9 Å³/f.u.
# **E_tot**: -31.40 eV/cell
# **Fermi-level density of states**: 2.792 states/eV/f.u.
data_MgMnIn2
_symmetry_space_group_name_H-M 'I -4 m 2'
_symmetry_Int_Tables_number 119
_symmetry_space_group_name_Hall 'I -4 -2'
_cell_length_a 4.249
_cell_length_b 4.249
_cell_length_c 9.190
_cell_angle_alpha 90.00
_cell_angle_beta 90.00
_cell_angle_gamma 90.00
loop_
_atom_site_label
_atom_site_fract_x
_atom_site_fract_y
_atom_site_fract_z
_atom_site_occupancy
Mg1 0.000 0.000 0.000 1
Mn1 0.000 0.500 0.750 1
In1 0.000 0.000 0.500 1
In2 0.000 0.500 0.250 1

***

No. 2
# Cu2Pd8S | Alexandria via LeMat-Bulk | PBE | optimized geometry
# **V**: 166.0 Å³/f.u.
# **Fermi-level density of states**: 9.794 states/eV/f.u.
# **Formation energy from raw total energies**: -62 meV/atom
data_Cu2Pd8S
_symmetry_space_group_name_H-M 'C 1 2/m 1'
_symmetry_Int_Tables_number 12
_symmetry_space_group_name_Hall '-C 2y'
_cell_length_a 14.349
_cell_length_b 4.491
_cell_length_c 5.590
_cell_angle_alpha 90.00
_cell_angle_beta 112.84
_cell_angle_gamma 90.00
loop_
_atom_site_label
_atom_site_fract_x
_atom_site_fract_y
_atom_site_fract_z
_atom_site_occupancy
Cu1 0.185 0.000 0.185 1
Pd1 0.001 0.000 0.246 1
Pd2 0.135 0.500 0.894 1
Pd3 0.136 0.500 0.380 1
Pd4 0.188 0.000 0.690 1
S1 0.000 0.500 0.500 1

***

No. 3
# LaPrTmAg | Alexandria via LeMat-Bulk | PBE | optimized geometry
# **V**: 120.8 Å³/f.u.
# **Relative energy among the computed polymorphs**: 0 meV/atom
# **Fermi-level density of states**: 5.341 states/eV/f.u.
data_LaPrTmAg
_symmetry_space_group_name_H-M 'P 4 m m'
_symmetry_Int_Tables_number 99
_symmetry_space_group_name_Hall 'P 4 -2'
_cell_length_a 3.692
_cell_length_b 3.692
_cell_length_c 8.863
_cell_angle_alpha 90.00
_cell_angle_beta 90.00
_cell_angle_gamma 90.00
loop_
_atom_site_label
_atom_site_fract_x
_atom_site_fract_y
_atom_site_fract_z
_atom_site_occupancy
La1 0.000 0.000 0.000 1
Pr1 0.500 0.500 0.302 1
Tm1 0.000 0.000 0.583 1
Ag1 0.500 0.500 0.762 1

***

No. 4
# ThU2S6 | Alexandria via LeMat-Bulk | PBE | optimized geometry
# **V**: 248.6 Å³/f.u.
# **Fermi-level density of states**: 10.954 states/eV/f.u.
# **Formation energy from raw total energies**: -1476 meV/atom
data_ThU2S6
_symmetry_space_group_name_H-M 'C 1 2/m 1'
_symmetry_Int_Tables_number 12
_symmetry_space_group_name_Hall '-C 2y'
_cell_length_a 13.605
_cell_length_b 5.044
_cell_length_c 8.943
_cell_angle_alpha 90.00
_cell_angle_beta 125.89
_cell_angle_gamma 90.00
loop_
_atom_site_label
_atom_site_fract_x
_atom_site_fract_y
_atom_site_fract_z
_atom_site_occupancy
Th1 0.000 0.000 0.000 1
U1 0.180 0.000 0.605 1
S1 0.037 0.000 0.720 1
S2 0.131 0.500 0.057 1
S3 0.246 0.000 0.365 1

***

No. 5
# Rb2AgI3 | Alexandria via LeMat-Bulk | PBE | optimized geometry
# **V**: 284.1 Å³/f.u.
# **Relative energy among the computed polymorphs**: 25 meV/atom
# **Fermi-level density of states**: 0.000 states/eV/f.u.
# **Formation energy from raw total energies**: -1065 meV/atom
data_Rb2AgI3
_symmetry_space_group_name_H-M 'C 1 2/c 1'
_symmetry_Int_Tables_number 15
_symmetry_space_group_name_Hall '-C 2yc'
_cell_length_a 14.078
_cell_length_b 9.116
_cell_length_c 9.510
_cell_angle_alpha 90.00
_cell_angle_beta 111.38
_cell_angle_gamma 90.00
loop_
_atom_site_label
_atom_site_fract_x
_atom_site_fract_y
_atom_site_fract_z
_atom_site_occupancy
Rb1 0.158 0.189 0.159 1
Ag1 0.000 0.398 0.750 1
I1 0.000 0.092 0.750 1
I2 0.162 0.456 0.462 1

***

No. 6
# Mg2ZrCd | Alexandria via LeMat-Bulk | PBE | optimized geometry
# **V**: 88.9 Å³/f.u.
# **E_tot**: -25.14 eV/cell
# **Fermi-level density of states**: 3.978 states/eV/f.u.
data_Mg2ZrCd
_symmetry_space_group_name_H-M 'C m m m'
_symmetry_Int_Tables_number 65
_symmetry_space_group_name_Hall '-C 2 2'
_cell_length_a 6.253
_cell_length_b 9.673
_cell_length_c 2.941
_cell_angle_alpha 90.00
_cell_angle_beta 90.00
_cell_angle_gamma 90.00
loop_
_atom_site_label
_atom_site_fract_x
_atom_site_fract_y
_atom_site_fract_z
_atom_site_occupancy
Mg1 0.250 0.250 0.000 1
Zr1 0.000 0.000 0.500 1
Cd1 0.000 0.500 0.500 1

***

No. 7
# KSrV | Alexandria via LeMat-Bulk | PBE | optimized geometry
# **V**: 136.7 Å³/f.u.
# **Relative energy among the computed polymorphs**: 0 meV/atom
# **Fermi-level density of states**: 3.138 states/eV/f.u.
data_KSrV
_symmetry_space_group_name_H-M 'P 1'
_symmetry_Int_Tables_number 1
_symmetry_space_group_name_Hall 'P 1'
_cell_length_a 4.326
_cell_length_b 4.327
_cell_length_c 16.063
_cell_angle_alpha 93.53
_cell_angle_beta 95.77
_cell_angle_gamma 113.15
loop_
_atom_site_label
_atom_site_fract_x
_atom_site_fract_y
_atom_site_fract_z
_atom_site_occupancy
K1 0.000 0.000 0.000 1
K2 0.430 0.327 0.755 1
Sr1 0.574 0.665 0.240 1
Sr2 0.726 0.787 0.516 1
V1 0.018 0.351 0.378 1
V2 0.282 0.101 0.378 1

***

No. 8
# SmY8Er3 | Alexandria via LeMat-Bulk | PBE | optimized geometry
# **V**: 382.4 Å³/f.u.
# **E_tot**: -69.90 eV/cell
# **Fermi-level density of states**: 17.747 states/eV/f.u.
data_SmY8Er3
_symmetry_space_group_name_H-M 'P -1'
_symmetry_Int_Tables_number 2
_symmetry_space_group_name_Hall '-P 1'
_cell_length_a 6.169
_cell_length_b 7.093
_cell_length_c 9.443
_cell_angle_alpha 78.70
_cell_angle_beta 77.17
_cell_angle_gamma 73.54
loop_
_atom_site_label
_atom_site_fract_x
_atom_site_fract_y
_atom_site_fract_z
_atom_site_occupancy
Sm1 0.000 0.000 0.000 1
Y1 0.001 0.334 0.666 1
Y2 0.002 0.833 0.666 1
Y3 0.499 0.168 0.832 1
Y4 0.500 0.333 0.168 1
Er1 0.000 0.500 0.000 1
Er2 0.500 0.000 0.500 1
Er3 0.500 0.500 0.500 1

***

No. 9
# AlSnB2 | Alexandria via LeMat-Bulk | PBE | optimized geometry
# **V**: 55.0 Å³/f.u.
# **Relative energy among the computed polymorphs**: 400 meV/atom
# **Fermi-level density of states**: 1.288 states/eV/f.u.
data_AlSnB2
_symmetry_space_group_name_H-M 'F m -3 m'
_symmetry_Int_Tables_number 225
_symmetry_space_group_name_Hall '-F 4 2 3'
_cell_length_a 6.038
_cell_length_b 6.038
_cell_length_c 6.038
_cell_angle_alpha 90.00
_cell_angle_beta 90.00
_cell_angle_gamma 90.00
loop_
_atom_site_label
_atom_site_fract_x
_atom_site_fract_y
_atom_site_fract_z
_atom_site_occupancy
Al1 0.000 0.000 0.000 1
Sn1 0.000 0.000 0.500 1
B1 0.250 0.250 0.250 1

***

No. 10
# PPt2W | Alexandria via LeMat-Bulk | PBE | optimized geometry
# **V**: 60.5 Å³/f.u.
# **E_tot**: -59.73 eV/cell
# **Fermi-level density of states**: 4.491 states/eV/f.u.
data_PPt2W
_symmetry_space_group_name_H-M 'I 4/m m m'
_symmetry_Int_Tables_number 139
_symmetry_space_group_name_Hall '-I 4 2'
_cell_length_a 3.782
_cell_length_b 3.782
_cell_length_c 8.465
_cell_angle_alpha 90.00
_cell_angle_beta 90.00
_cell_angle_gamma 90.00
loop_
_atom_site_label
_atom_site_fract_x
_atom_site_fract_y
_atom_site_fract_z
_atom_site_occupancy
P1 0.000 0.000 0.000 1
Pt1 0.000 0.500 0.250 1
W1 0.000 0.000 0.500 1

***

No. 11
# Tm3S2N | Alexandria via LeMat-Bulk | PBE | optimized geometry
# **V**: 107.2 Å³/f.u.
# **Fermi-level density of states**: 1.741 states/eV/f.u.
# **Formation energy from raw total energies**: -1868 meV/atom
data_Tm3S2N
_symmetry_space_group_name_H-M 'P -3 m 1'
_symmetry_Int_Tables_number 164
_symmetry_space_group_name_Hall '-P 3 2"'
_cell_length_a 3.6254
_cell_length_b 3.6254
_cell_length_c 9.4207
_cell_angle_alpha 90.00
_cell_angle_beta 90.00
_cell_angle_gamma 120.00
loop_
_atom_site_label
_atom_site_fract_x
_atom_site_fract_y
_atom_site_fract_z
_atom_site_occupancy
Tm1 0.0000 0.0000 0.0000 1
Tm2 0.3333 0.6667 0.6345 1
S1 0.3333 0.6667 0.1800 1
N1 0.0000 0.0000 0.5000 1

***

No. 12
# CsGePb | Alexandria via LeMat-Bulk | PBE | optimized geometry
# **V**: 121.1 Å³/f.u.
# **Relative energy among the computed polymorphs**: 0 meV/atom
# **Fermi-level density of states**: 1.048 states/eV/f.u.
data_CsGePb
_symmetry_space_group_name_H-M 'P 21 21 21'
_symmetry_Int_Tables_number 19
_symmetry_space_group_name_Hall 'P 2ac 2ab'
_cell_length_a 4.383
_cell_length_b 7.039
_cell_length_c 15.703
_cell_angle_alpha 90.00
_cell_angle_beta 90.00
_cell_angle_gamma 90.00
loop_
_atom_site_label
_atom_site_fract_x
_atom_site_fract_y
_atom_site_fract_z
_atom_site_occupancy
Cs1 0.000 0.131 0.171 1
Ge1 0.001 0.318 0.626 1
Pb1 0.001 0.065 0.481 1

***

Number 1 is which compound?
MgMnIn2